Here is TbNdGa4 after structural relaxation from Alexandria. Energies are from GGA-PBE.

Its crystal system is tetragonal. The total magnetic moment comes out at 0.0 μB/f.u. Its total energy is -4.2467 eV per atom. The value obtained for the formation enthalpy at 0 K is -4.0 eV/f.u. As for the distance to the lowest polymorph of the same formula: 0 meV/atom.

Lattice parameters (Å, degrees): 4.226 4.226 14.807 90.00 90.00 90.00
Space group I-4m2 (No. 119)
Inequivalent atoms, fractional coordinates:
Tb (0.000, 0.000, 0.000)
Nd (0.000, 0.500, 0.750)
Ga (0.000, 0.000, 0.418)
Ga (0.000, 0.500, 0.166)


Here is CaTe4Au after structural relaxation from Alexandria. Energies are from GGA-PBE.

Its crystal system is cubic. Its formation energy from raw total energies is 0.00 eV per atom. The total magnetic moment comes out at 0.0 μB/f.u. Its total energy is -2.9701 eV per atom.

Lattice parameters (Å, degrees): 8.988 8.988 8.988 90.00 90.00 90.00
Space group F-43m (No. 216)
Inequivalent atoms, fractional coordinates:
Ca (0.000, 0.000, 0.000)
Te (0.124, 0.124, 0.624)
Au (0.250, 0.250, 0.250)


Here is PmHoHgBi after structural relaxation from Alexandria. Energies are from GGA-PBE.

Its crystal system is cubic. The total magnetic moment comes out at 0.0 μB/f.u. Its total energy is -3.8933 eV per atom. The value obtained for the formation enthalpy at 0 K is -2.1 eV/f.u.

Lattice parameters (Å, degrees): 7.665 7.665 7.665 90.00 90.00 90.00
Space group F-43m (No. 216)
Inequivalent atoms, fractional coordinates:
Pm (0.000, 0.000, 0.000)
Ho (0.000, 0.000, 0.500)
Hg (0.250, 0.250, 0.750)
Bi (0.250, 0.250, 0.250)


Here is YHfSc2N after structural relaxation from Alexandria. Energies are from GGA-PBE.

Its crystal system is tetragonal. Its formation energy from raw total energies is -0.52 eV per atom. The total magnetic moment comes out at 0.0 μB/f.u. Its total energy is -8.0045 eV per atom.

Lattice parameters (Å, degrees): 4.730 4.730 4.454 90.00 90.00 90.00
Space group P4/mmm (No. 123)
Inequivalent atoms, fractional coordinates:
Y (0.000, 0.000, 0.000)
Hf (0.500, 0.500, 0.000)
Sc (0.000, 0.500, 0.500)
N (0.500, 0.500, 0.500)


Here is Pm4Ho3Tm after structural relaxation from Alexandria. Energies are from GGA-PBE.

Its crystal system is orthorhombic. The total magnetic moment comes out at 0.0 μB/f.u. Its total energy is -4.6263 eV per atom. The value obtained for the formation enthalpy at 0 K is 0.2 eV/f.u. As for the distance to the lowest polymorph of the same formula: 0 meV/atom.

Lattice parameters (Å, degrees): 11.562 7.262 6.285 90.00 90.00 90.00
Space group Pmn2_1 (No. 31)
Inequivalent atoms, fractional coordinates:
Pm (0.000, 0.127, 0.000)
Pm (0.000, 0.873, 0.497)
Pm (0.249, 0.872, 0.829)
Ho (0.000, 0.378, 0.498)
Ho (0.250, 0.378, 0.829)
Tm (0.000, 0.621, 0.998)


Here is PmSc5In3 after structural relaxation from Alexandria. Energies are from GGA-PBE.

Its crystal system is hexagonal. The total magnetic moment comes out at 0.0 μB/f.u. Its total energy is -5.3137 eV per atom. The value obtained for the formation enthalpy at 0 K is -3.2 eV/f.u.

Lattice parameters (Å, degrees): 8.8869 8.8869 6.3811 90.00 90.00 120.00
Space group P6_3/mcm (No. 193)
Inequivalent atoms, fractional coordinates:
Pm (0.0000, 0.0000, 0.0000)
Sc (0.0000, 0.3329, 0.2500)
Sc (0.3333, 0.6667, 0.0000)
In (0.0000, 0.3422, 0.7500)


Here is ZrSbS2 after structural relaxation from Alexandria. Energies are from GGA-PBE.

Its crystal system is tetragonal. Its formation energy from raw total energies is -0.35 eV per atom. The total magnetic moment comes out at 0.0 μB/f.u. Its total energy is -5.5836 eV per atom.

Lattice parameters (Å, degrees): 6.527 6.527 10.753 90.00 90.00 90.00
Space group I-42d (No. 122)
Inequivalent atoms, fractional coordinates:
Zr (0.000, 0.000, 0.000)
Sb (0.000, 0.000, 0.500)
S (0.190, 0.250, 0.125)


Here is CaReMo3 after structural relaxation from Alexandria. Energies are from GGA-PBE.

Its crystal system is cubic. The total magnetic moment comes out at 1.5 μB/f.u. Its total energy is -8.1360 eV per atom. The value obtained for the formation enthalpy at 0 K is 6.3 eV/f.u. As for the distance to the lowest polymorph of the same formula: 0 meV/atom.

Lattice parameters (Å, degrees): 4.840 4.840 4.840 90.00 90.00 90.00
Space group Pm-3m (No. 221)
Inequivalent atoms, fractional coordinates:
Ca (0.000, 0.000, 0.000)
Re (0.500, 0.500, 0.500)
Mo (0.000, 0.500, 0.500)


total magnetic moment of number 1 (TbNdGa4)?
0.0 μB/f.u.


total magnetic moment of number 7 (ZrSbS2)?
0.0 μB/f.u.


Which of these has the highest total magnetic moment?
CaReMo3